A plane-wave DFT calculation with PBE with a Hubbard U was carried out for a relaxed Mg6MnNbO8 crystal.

abc: 4.3255 4.3255 8.7752
angles: 90.00 90.00 90.00
With the nearest neighbours (Å) after each atom.
Space group P4/mmm (No. 123)
Symmetry-distinct sites (fractional):
Mg (0.0000, 0.0000, 0.0000) [1 per cell]  6 O 2.11-2.16
Mg (0.0000, 0.5000, 0.2426) [4 per cell]  6 O 2.13-2.26
Mg (0.5000, 0.5000, 0.0000) [1 per cell]  6 O 2.08-2.16
Mn (0.0000, 0.0000, 0.5000) [1 per cell]  6 O 2.16-2.28
Nb (0.5000, 0.5000, 0.5000) [1 per cell]  6 O 2.16-2.31
O (0.0000, 0.0000, 0.2407) [2 per cell]  5 Mg 2.11-2.16, 1 Mn 2.28
O (0.0000, 0.5000, 0.0000) [2 per cell]  6 Mg 2.13-2.16
O (0.0000, 0.5000, 0.5000) [2 per cell]  2 Nb 2.16, 2 Mn 2.16, 2 Mg 2.26
O (0.5000, 0.5000, 0.2371) [2 per cell]  5 Mg 2.08-2.16, 1 Nb 2.31

Summary:
relative energy among the computed polymorphs	0.0	meV per atom